# Y2ErAu GGA-PBE optimized geometry
# symmetry: P4/mmm, No. 123
# magnetization: 0.00 Bohr magnetons per cell
# distance to the lowest polymorph of the same formula: 0.074 eV per atom
data_Y2ErAu
_space_group_name_H-M_alt 'P 1'
_space_group_IT_number 1
_cell_length_a 3.622
_cell_length_b 3.622
_cell_length_c 8.446
_cell_angle_alpha 90.00
_cell_angle_beta 90.00
_cell_angle_gamma 90.00
loop_
_space_group_symop_operation_xyz
'x,y,z'
loop_
_atom_site_label
_atom_site_fract_x
_atom_site_fract_y
_atom_site_fract_z
Y1 0.000 0.000 0.209
Y2 0.000 0.000 0.791
Er1 0.500 0.500 0.500
Au1 0.500 0.500 0.000

# Y2ErAu GGA-PBE optimized geometry
# symmetry: Cmcm, No. 63
# magnetization: 0.00 Bohr magnetons per cell
# distance to the lowest polymorph of the same formula: 0.061 eV per atom
data_Y2ErAu
_space_group_name_H-M_alt 'P 1'
_space_group_IT_number 1
_cell_length_a 6.466
_cell_length_b 6.466
_cell_length_c 7.743
_cell_angle_alpha 90.00
_cell_angle_beta 90.00
_cell_angle_gamma 134.83
loop_
_space_group_symop_operation_xyz
'x,y,z'
loop_
_atom_site_label
_atom_site_fract_x
_atom_site_fract_y
_atom_site_fract_z
Y1 0.144 0.856 0.533
Y2 0.144 0.856 0.967
Y3 0.856 0.144 0.033
Y4 0.856 0.144 0.467
Er1 0.459 0.541 0.750
Er2 0.541 0.459 0.250
Au1 0.300 0.700 0.250
Au2 0.700 0.300 0.750

Which of these has the highest distance to the lowest polymorph of the same formula? number 1